[1]
Material: LuTa2Nb
Method: DFT, PBE
State: optimized geometry

a b c (Å): 3.396 3.396 7.164
angles (deg): 90.00 90.00 90.00
Space group P4/mmm (No. 123)
Inequivalent atoms, fractional coordinates:
Lu 0.000 0.000 0.000 x1
Ta 0.500 0.500 0.294 x2
Nb 0.000 0.000 0.500 x1

Energy of formation, eV per atom: 0.18
Total energy, Ha/atom: -0.345

[2]
Material: TbLu2Nb
Method: DFT, PBE
State: optimized geometry

a b c (Å): 3.807 3.807 7.253
angles (deg): 90.00 90.00 90.00
Space group P4/mmm (No. 123)
Inequivalent atoms, fractional coordinates:
Tb 0.000 0.000 0.000 x1
Lu 0.500 0.500 0.289 x2
Nb 0.000 0.000 0.500 x1

Energy of formation, eV per atom: 0.23
Offset from the most stable computed form, eV/atom: 0.000
Total energy, Ha/atom: -0.210

[3]
Material: TbLuNb4
Method: DFT, PBE
State: optimized geometry

a b c (Å): 8.069 8.069 8.069
angles (deg): 90.00 90.00 90.00
Space group F-43m (No. 216)
Inequivalent atoms, fractional coordinates:
Tb 0.000 0.000 0.000 x4
Lu 0.250 0.250 0.250 x4
Nb 0.125 0.125 0.625 x16

Energy of formation, eV per atom: 0.17
Total energy, Ha/atom: -0.297

[4]
Material: TbLu2Nb
Method: DFT, PBE
State: optimized geometry

a b c (Å): 3.2566 3.2566 34.4785
angles (deg): 90.00 90.00 120.00
Space group R-3m (No. 166, hexagonal axes)
Inequivalent atoms, fractional coordinates:
Tb 0.0000 0.0000 0.0000 x3
Lu 0.0000 0.0000 0.4165 x6
Nb 0.0000 0.0000 0.5000 x3

Energy of formation, eV per atom: 0.51
Offset from the most stable computed form, eV/atom: 0.281
Total energy, Ha/atom: -0.199

[5]
Material: LuNbTc2
Method: DFT, PBE
State: optimized geometry

a b c (Å): 6.528 6.528 6.528
angles (deg): 90.00 90.00 90.00
Space group Fm-3m (No. 225)
Inequivalent atoms, fractional coordinates:
Lu 0.000 0.000 0.000 x4
Nb 0.000 0.000 0.500 x4
Tc 0.250 0.250 0.250 x8

Energy of formation, eV per atom: -0.14
Offset from the most stable computed form, eV/atom: 0.000
Total energy, Ha/atom: -0.330

[6]
Material: LuNbTc2
Method: DFT, PBE
State: optimized geometry

a b c (Å): 4.632 4.632 3.245
angles (deg): 90.00 90.00 90.00
Space group P4/mmm (No. 123)
Inequivalent atoms, fractional coordinates:
Lu 0.000 0.000 0.000 x1
Nb 0.500 0.500 0.000 x1
Tc 0.000 0.500 0.500 x2

Energy of formation, eV per atom: -0.12
Offset from the most stable computed form, eV/atom: 0.023
Total energy, Ha/atom: -0.329

[7]
Material: LuNbTc4
Method: DFT, PBE
State: optimized geometry

a b c (Å): 7.427 7.427 7.427
angles (deg): 90.00 90.00 90.00
Space group F-43m (No. 216)
Inequivalent atoms, fractional coordinates:
Lu 0.000 0.000 0.000 x4
Nb 0.250 0.250 0.250 x4
Tc 0.125 0.125 0.625 x16

Energy of formation, eV per atom: -0.13
Total energy, Ha/atom: -0.348

[8]
Material: LuNbZnTc
Method: DFT, PBE
State: optimized geometry

a b c (Å): 6.595 6.595 6.595
angles (deg): 90.00 90.00 90.00
Space group F-43m (No. 216)
Inequivalent atoms, fractional coordinates:
Lu 0.000 0.000 0.000 x4
Nb 0.000 0.000 0.500 x4
Zn 0.250 0.250 0.750 x4
Tc 0.250 0.250 0.250 x4

Energy of formation, eV per atom: -0.12
Total energy, Ha/atom: -0.245

[9]
Material: LuNbTe2
Method: DFT, PBE
State: optimized geometry

a b c (Å): 4.0361 4.0361 27.7834
angles (deg): 90.00 90.00 120.00
Space group R-3m (No. 166, hexagonal axes)
Inequivalent atoms, fractional coordinates:
Lu 0.0000 0.0000 0.0000 x3
Nb 0.0000 0.0000 0.5000 x3
Te 0.0000 0.0000 0.3999 x6

Formation energy without anion corrections, eV/atom: -0.002
Total energy, Ha/atom: -0.192

[10]
Material: LuThNb4
Method: DFT, PBE
State: optimized geometry

a b c (Å): 8.094 8.094 8.094
angles (deg): 90.00 90.00 90.00
Space group F-43m (No. 216)
Inequivalent atoms, fractional coordinates:
Lu 0.000 0.000 0.000 x4
Th 0.250 0.250 0.750 x4
Nb 0.125 0.125 0.375 x16

Energy of formation, eV per atom: 0.07
Total energy, Ha/atom: -0.317

[11]
Material: LuThZrNb
Method: DFT, PBE
State: optimized geometry

a b c (Å): 7.330 7.330 7.330
angles (deg): 90.00 90.00 90.00
Space group F-43m (No. 216)
Inequivalent atoms, fractional coordinates:
Lu 0.000 0.000 0.000 x4
Th 0.250 0.250 0.750 x4
Zr 0.250 0.250 0.250 x4
Nb 0.000 0.000 0.500 x4

Energy of formation, eV per atom: 0.20
Total energy, Ha/atom: -0.273

[12]
Material: LuTi2Nb
Method: DFT, PBE
State: optimized geometry

a b c (Å): 3.0825 3.0825 29.4973
angles (deg): 90.00 90.00 120.00
Space group R-3m (No. 166, hexagonal axes)
Inequivalent atoms, fractional coordinates:
Lu 0.0000 0.0000 0.0000 x3
Ti 0.0000 0.0000 0.2425 x6
Nb 0.0000 0.0000 0.5000 x3

Energy of formation, eV per atom: 0.27
Offset from the most stable computed form, eV/atom: 0.198
Total energy, Ha/atom: -0.269